LaCl3 | PBE | relaxed

D(E_F)   0.000 states/eV per atom
E_form (uncorrected)   -7.9 eV/f.u.

abc: 9.338 9.338 9.338
angles: 151.85 151.85 40.23
Positions (direct):
1 La 0.129 0.129 0.000
2 La 0.871 0.871 0.000
3 Cl 0.000 0.500 0.500
4 Cl 0.250 0.750 0.500
5 Cl 0.372 0.372 0.000
6 Cl 0.500 0.000 0.500
7 Cl 0.628 0.628 0.000
8 Cl 0.750 0.250 0.500